No. 1
Computed, not measured: a geometry-optimized Sc2Ni3 structure at the PBE-GGA level of DFT.

Output
crystal system = trigonal

Lattice parameters (Å, degrees): 6.0663 6.0663 6.0663 38.93 38.93 38.93
Fractional coordinates of all 5 atoms:
Sc  0.5919  0.5919  0.5919
Sc  0.4081  0.4081  0.4081
Ni  0.0000  0.0000  0.0000
Ni  0.8470  0.8470  0.8470
Ni  0.1530  0.1530  0.1530



No. 2
Computed, not measured: a geometry-optimized K3In2Au4 structure at the PBE-GGA level of DFT.

Output
crystal system = monoclinic
polymorph energy (0 for the lowest one) = 0.010 eV/atom

Lattice parameters (Å, degrees): 4.7644 6.5962 9.3658 104.84 90.00 111.17
Fractional coordinates of all 9 atoms:
K  0.6154  0.2309  0.7092
K  0.0000  0.0000  0.0000
K  0.3846  0.7691  0.2908
In  0.6842  0.3685  0.3517
In  0.3158  0.6315  0.6483
Au  0.7282  0.4565  0.0743
Au  0.2718  0.5435  0.9257
Au  0.9055  0.8110  0.5601
Au  0.0945  0.1890  0.4399



No. 3
Computed, not measured: a geometry-optimized PrNd2Mg structure at the PBE-GGA level of DFT.

Output
crystal system = tetragonal
polymorph energy (0 for the lowest one) = 0.000 eV/atom

Lattice parameters (Å, degrees): 3.7813 3.7813 9.1381 90.00 90.00 90.00
Fractional coordinates of all 4 atoms:
Pr  0.5000  0.5000  0.5000
Mg  0.5000  0.5000  0.0000
Nd  0.0000  0.0000  0.7762
Nd  0.0000  0.0000  0.2238



no.,calculated total energy (eV/atom),formation energy from the elements (eV/f.u.)
1,-6.330,-1.64
2,-2.725,-2.64
3,-4.020,-0.17